1.
DFT (PBE) results for a relaxed NaCu10Si3 crystal.

Unit cell a=8.299 b=8.299 c=8.299 alpha=60.00 beta=60.00 gamma=60.00
Fractional positions:
Na1 0.750 0.750 0.750
Si1 0.264 0.736 0.736
Cu1 0.842 0.386 0.386
Na2 0.250 0.250 0.250
Cu2 0.614 0.614 0.614
Si2 0.736 0.264 0.264
Si3 0.736 0.736 0.264
Cu3 0.386 0.842 0.386
Cu4 0.000 0.651 0.000
Cu5 0.349 0.651 0.000
Cu6 0.614 0.614 0.158
Cu7 0.000 0.651 0.349
Si4 0.264 0.264 0.736
Cu8 0.386 0.386 0.386
Si5 0.736 0.264 0.736
Cu9 0.000 0.000 0.349
Cu10 0.000 0.349 0.000
Cu11 0.651 0.000 0.349
Cu12 0.614 0.158 0.614
Cu13 0.349 0.000 0.000
Cu14 0.386 0.386 0.842
Cu15 0.651 0.349 0.000
Si6 0.264 0.736 0.264
Cu16 0.158 0.614 0.614
Cu17 0.000 0.000 0.651
Cu18 0.349 0.000 0.651
Cu19 0.000 0.349 0.651
Cu20 0.651 0.000 0.000

Values from the calculation:
- Raw total energy: -4.0852 eV per atom
- Space-group type: No. 225
- N(E_F): 15.86 states/eV/cell
- Raw formation energy: 0.10 eV per atom

2.
DFT (PBE) results for a relaxed NaCu9Si3 crystal.

Unit cell a=4.879 b=6.307 c=6.447 alpha=82.22 beta=67.77 gamma=69.05
Fractional positions:
Cu1 0.711 0.779 0.776
Si1 0.500 0.500 0.000
Si2 0.500 0.000 0.500
Cu2 0.661 0.346 0.351
Cu3 0.988 0.654 0.351
Cu4 0.012 0.346 0.649
Cu5 0.488 0.779 0.224
Cu6 0.512 0.221 0.776
Si3 0.000 0.000 0.500
Cu7 0.000 0.500 0.000
Na1 0.000 0.000 0.000
Cu8 0.289 0.221 0.224
Cu9 0.339 0.654 0.649

Values from the calculation:
- Raw total energy: -4.2343 eV per atom
- Space-group type: No. 12
- N(E_F): 1.99 states/eV/cell
- Raw formation energy: -0.05 eV per atom

3.
DFT (PBE) results for a relaxed Na2Cu2Si crystal.

Unit cell a=4.094 b=4.094 c=8.920 alpha=76.73 beta=76.73 gamma=60.00
Fractional positions:
Na1 0.430 0.430 0.710
Si1 0.000 0.000 0.000
Na2 0.570 0.570 0.290
Cu1 0.679 0.679 0.962
Cu2 0.321 0.321 0.038

Values from the calculation:
- Raw total energy: -3.2601 eV per atom
- Space-group type: No. 166
- Energy relative to the lowest polymorph listed for this composition: 0.00 eV/f.u.
- N(E_F): 1.87 states/eV/cell
- Raw formation energy: -0.01 eV per atom